This record from Alexandria describes Li3Tl at its PBEsol-relaxed geometry. The functional is meta-GGA SCAN.

The structure in POSCAR format:
```
Li3Tl
1.0
0.000 3.290 3.290
3.290 0.000 3.290
3.290 3.290 0.000
Li Tl
3 1
Cartesian
0.000 0.000 0.000
1.645 1.645 1.645
4.935 4.935 4.935
3.290 3.290 3.290
```

Output
size of the total moment: 0.0 μB per formula unit
E_tot: -80.9 eV per cell
SG: Fm-3m, No. 225

---

This record from Alexandria describes Li5Tl24 at its PBEsol-relaxed geometry. The functional is meta-GGA SCAN.

The structure in POSCAR format:
```
Li5Tl24
1.0
-5.849 5.849 5.849
5.849 -5.849 5.849
5.849 5.849 -5.849
Li Tl
5 24
Cartesian
0.000 0.000 0.000
2.101 2.101 -2.101
2.101 -2.101 2.101
-2.101 2.101 2.101
3.747 3.747 3.747
5.288 1.643 -1.643
5.288 -1.643 1.643
8.393 1.071 -1.071
8.393 -1.071 1.071
3.305 1.071 1.071
4.778 4.778 -2.544
4.778 -2.544 4.778
6.410 1.643 1.643
1.643 5.288 -1.643
1.643 -1.643 5.288
1.071 3.305 1.071
1.071 1.071 3.305
4.205 4.205 0.561
4.205 0.561 4.205
-1.643 5.288 1.643
-1.643 1.643 5.288
1.071 8.393 -1.071
1.071 -1.071 8.393
1.643 6.410 1.643
1.643 1.643 6.410
0.561 4.205 4.205
-1.071 8.393 1.071
-1.071 1.071 8.393
-2.544 4.778 4.778
```

Output
size of the total moment: 0.0 μB per formula unit
E_tot: -1749.3 eV per cell
SG: I-43m, No. 217

---

This record from Alexandria describes LiTl3 at its PBEsol-relaxed geometry. The functional is meta-GGA SCAN.

The structure in POSCAR format:
```
LiTl3
1.0
4.646 0.000 0.000
0.000 4.646 0.000
0.000 0.000 4.646
Li Tl
1 3
Cartesian
0.000 0.000 0.000
0.000 2.323 2.323
2.323 0.000 2.323
2.323 2.323 0.000
```

Output
size of the total moment: 0.0 μB per formula unit
E_tot: -219.9 eV per cell
SG: Pm-3m, No. 221

---

This record from Alexandria describes Li8Tl at its PBEsol-relaxed geometry. The functional is meta-GGA SCAN.

The structure in POSCAR format:
```
Li8Tl
1.0
-4.490 4.490 2.120
4.490 -4.490 2.120
4.490 4.490 -2.120
Li Tl
8 1
Cartesian
2.943 0.000 0.000
6.036 0.000 0.000
0.000 2.943 0.000
3.049 3.049 0.000
1.441 -1.441 2.120
-1.441 1.441 2.120
1.441 1.441 2.120
0.000 6.036 0.000
0.000 0.000 0.000
```

Output
size of the total moment: 0.3 μB per formula unit
E_tot: -92.8 eV per cell
SG: I4/mmm, No. 139

---

This record from Alexandria describes LiTl3 at its PBEsol-relaxed geometry. The functional is meta-GGA SCAN.

The structure in POSCAR format:
```
LiTl3
1.0
3.519 0.000 0.000
0.000 5.239 0.000
0.000 0.000 5.518
Li Tl
1 3
Cartesian
0.000 0.000 0.000
0.000 2.619 1.884
1.760 0.000 2.776
1.760 2.619 4.709
```

Output
size of the total moment: 0.0 μB per formula unit
E_tot: -219.9 eV per cell
SG: Pmm2, No. 25

---

This record from Alexandria describes Li5Tl2 at its PBEsol-relaxed geometry. The functional is meta-GGA SCAN.

The structure in POSCAR format:
```
Li5Tl2
1.0
2.326 1.343 6.724
-2.326 1.343 6.724
0.000 -2.686 6.724
Li Tl
5 2
Cartesian
0.000 0.000 0.000
0.000 0.000 2.949
0.000 0.000 5.793
0.000 0.000 14.379
0.000 0.000 17.224
0.000 0.000 8.579
0.000 0.000 11.594
```

Output
size of the total moment: 0.0 μB per formula unit
E_tot: -159.2 eV per cell
SG: R-3m, No. 166